Entry 1:
Below is a relaxed structure of La2SmYBi5, with properties calculated at the GGA-PBE level.

Cell: 5.543 5.543 11.967 Å, 90.00 90.00 90.00°
Fractional positions:
1 La 0.000 0.000 0.221
2 La 0.000 0.000 0.779
3 Sm 0.500 0.500 0.000
4 Y 0.500 0.500 0.500
5 Bi 0.000 0.000 0.500
6 Bi 0.000 0.500 0.000
7 Bi 0.500 0.000 0.000
8 Bi 0.500 0.500 0.256
9 Bi 0.500 0.500 0.744

Properties
N(E_F) ... 6.93 states/eV/cell
Final energy ... -4.6941 eV/atom
Calculated volume ... 40.86 A^3/atom
SG ... P4/mmm (123)
Energy of formation ... -0.2005 eV per atom
Total moment ... 0.0 μB per cell



Entry 2:
Below is a relaxed structure of Er4NiSe2, with properties calculated at the GGA-PBE level.

Cell: 6.789 6.789 13.839 Å, 90.00 90.00 147.57°
Fractional positions:
1 Er 0.000 0.000 0.000
2 Er 0.000 0.000 0.500
3 Er 0.293 0.707 0.629
4 Er 0.293 0.707 0.871
5 Er 0.459 0.541 0.250
6 Er 0.541 0.459 0.750
7 Er 0.707 0.293 0.129
8 Er 0.707 0.293 0.371
9 Ni 0.109 0.891 0.250
10 Ni 0.891 0.109 0.750
11 Se 0.358 0.642 0.066
12 Se 0.358 0.642 0.434
13 Se 0.642 0.358 0.566
14 Se 0.642 0.358 0.934

Properties
N(E_F) ... 9.42 states/eV/cell
Final energy ... -5.5091 eV/atom
Calculated volume ... 24.44 A^3/atom
SG ... Cmcm (63)
Total moment ... 0.0 μB per cell



Entry 3:
Below is a relaxed structure of Cs2TcTeMo, with properties calculated at the GGA-PBE level.

Cell: 7.052 7.052 4.413 Å, 90.00 90.00 90.00°
Fractional positions:
1 Cs 0.000 0.500 0.000
2 Cs 0.500 0.000 0.000
3 Tc 0.000 0.000 0.000
4 Te 0.500 0.500 0.500
5 Mo 0.000 0.000 0.500

Properties
N(E_F) ... 6.37 states/eV/cell
Final energy ... -4.1093 eV/atom
Calculated volume ... 43.89 A^3/atom
SG ... P4/mmm (123)
Total moment ... 0.0 μB per cell



Entry 4:
Below is a relaxed structure of MnHgS2Cl, with properties calculated at the GGA-PBE level.

Cell: 4.994 4.994 5.141 Å, 90.00 90.00 90.00°
Fractional positions:
1 Mn 0.000 0.000 0.000
2 Hg 0.500 0.500 0.500
3 S 0.000 0.500 0.500
4 S 0.500 0.000 0.500
5 Cl 0.500 0.500 0.000

Properties
N(E_F) ... 3.21 states/eV/cell
Final energy ... -3.3095 eV/atom
Calculated volume ... 25.64 A^3/atom
SG ... P4/mmm (123)
Total moment ... 5.0 μB per cell



Entry 5:
Below is a relaxed structure of La2ZrCo, with properties calculated at the GGA-PBE level.

Cell: 5.754 5.754 3.486 Å, 101.97 101.97 114.47°
Fractional positions:
1 La 0.000 0.500 0.000
2 La 0.500 0.000 0.000
3 Zr 0.000 0.000 0.500
4 Co 0.500 0.500 0.500

Properties
N(E_F) ... 6.00 states/eV/cell
Final energy ... -5.9516 eV/atom
Calculated volume ... 24.26 A^3/atom
SG ... C2/m (12)
Energy of formation ... 0.4256 eV per atom
Total moment ... 0.4 μB per cell



Entry 6:
Below is a relaxed structure of Sr2AgSnO, with properties calculated at the GGA-PBE level.

Cell: 6.249 6.249 5.052 Å, 90.00 90.00 90.00°
Fractional positions:
1 Sr 0.000 0.500 0.000
2 Sr 0.500 0.000 0.000
3 Ag 0.000 0.000 0.500
4 Sn 0.000 0.000 0.000
5 O 0.500 0.500 0.500

Properties
N(E_F) ... 6.78 states/eV/cell
Final energy ... -3.0082 eV/atom
Calculated volume ... 39.46 A^3/atom
SG ... P4/mmm (123)
Total moment ... 0.7 μB per cell